(1)
PaHg3S2Br6 | GGA-PBE | optimized geometry

calculated volume = 38.38 Å³ per atom
spin magnetization = 0.000 μB/f.u.
E_tot = -3.17 eV per atom
formation energy from raw total energies = -0.77 eV per atom

a = 15.879 Å, b = 7.786 Å, c = 7.923 Å
α = 90.00°, β = 109.86°, γ = 90.00°
Space group C2/m (No. 12)
Asymmetric unit:
Pa (0.000, 0.000, 0.000) [2 per cell]
Hg (0.000, 0.500, 0.500) [2 per cell]
Hg (0.250, 0.250, 0.500) [4 per cell]
S (0.168, 0.500, 0.549) [4 per cell]
Br (0.073, 0.000, 0.371) [4 per cell]
Br (0.117, 0.245, 0.984) [8 per cell]



(2)
PaHg3Te2Br6 | GGA-PBE | optimized geometry

calculated volume = 39.97 Å³ per atom
spin magnetization = 0.278 μB/f.u.
E_tot = -3.03 eV per atom
formation energy from raw total energies = -0.80 eV per atom

a = 17.743 Å, b = 7.985 Å, c = 7.409 Å
α = 90.00°, β = 113.94°, γ = 90.00°
Space group C2/m (No. 12)
Asymmetric unit:
Pa (0.000, 0.000, 0.000) [2 per cell]
Hg (0.000, 0.500, 0.500) [2 per cell]
Hg (0.250, 0.250, 0.500) [4 per cell]
Te (0.183, 0.500, 0.640) [4 per cell]
Br (0.083, 0.000, 0.405) [4 per cell]
Br (0.103, 0.243, 0.973) [8 per cell]



(3)
PaTlHg2Br6 | GGA-PBE | optimized geometry

calculated volume = 41.66 Å³ per atom
spin magnetization = 0.000 μB/f.u.
E_tot = -3.27 eV per atom
formation energy from raw total energies = -1.02 eV per atom

a = 7.720 Å, b = 9.624 Å, c = 12.095 Å
α = 90.00°, β = 111.99°, γ = 90.00°
Space group P2_1/c (No. 14)
Asymmetric unit:
Pa (0.000, 0.000, 0.000) [2 per cell]
Tl (0.500, 0.000, 0.500) [2 per cell]
Hg (0.342, 0.066, 0.718) [4 per cell]
Br (0.111, 0.034, 0.241) [4 per cell]
Br (0.195, 0.742, 0.532) [4 per cell]
Br (0.305, 0.143, 0.001) [4 per cell]



(4)
PaTlHgBr6 | GGA-PBE | optimized geometry

calculated volume = 48.87 Å³ per atom
spin magnetization = 0.000 μB/f.u.
E_tot = -3.63 eV per atom
formation energy from raw total energies = -1.16 eV per atom

a = 8.1895 Å, b = 8.1895 Å, c = 15.1440 Å
α = 90.00°, β = 90.00°, γ = 120.00°
Space group P-31c (No. 163)
Asymmetric unit:
Pa (0.3333, 0.6667, 0.2500) [2 per cell]
Tl (0.3333, 0.6667, 0.7500) [2 per cell]
Hg (0.0000, 0.0000, 0.0000) [2 per cell]
Br (0.0570, 0.3999, 0.1457) [12 per cell]



(5)
Hg3Pb5Br16 | GGA-PBE | optimized geometry

calculated volume = 37.39 Å³ per atom
spin magnetization = 0.000 μB/f.u.
E_tot = -2.64 eV per atom
formation energy from raw total energies = -0.71 eV per atom

a = 15.076 Å, b = 8.621 Å, c = 13.810 Å
α = 90.00°, β = 90.99°, γ = 90.00°
Space group Cm (No. 8)
Asymmetric unit:
Hg (0.000, 0.000, 0.000) [2 per cell]
Hg (0.417, 0.249, 0.495) [4 per cell]
Pb (0.162, 0.000, 0.265) [2 per cell]
Pb (0.165, 0.500, 0.496) [2 per cell]
Pb (0.247, 0.250, 0.996) [4 per cell]
Pb (0.493, 0.000, 0.757) [2 per cell]
Br (0.069, 0.257, 0.622) [4 per cell]
Br (0.080, 0.234, 0.122) [4 per cell]
Br (0.151, 0.000, 0.876) [2 per cell]
Br (0.172, 0.500, 0.861) [2 per cell]
Br (0.259, 0.258, 0.375) [4 per cell]
Br (0.321, 0.000, 0.130) [2 per cell]
Br (0.340, 0.000, 0.610) [2 per cell]
Br (0.342, 0.500, 0.607) [2 per cell]
Br (0.343, 0.500, 0.115) [2 per cell]
Br (0.417, 0.264, 0.881) [4 per cell]
Br (0.488, 0.000, 0.380) [2 per cell]
Br (0.490, 0.500, 0.383) [2 per cell]



(6)
HgPbBr | GGA-PBE | optimized geometry

calculated volume = 37.93 Å³ per atom
spin magnetization = 0.000 μB/f.u.
E_tot = -2.18 eV per atom
formation energy from raw total energies = -0.28 eV per atom

a = 4.392 Å, b = 4.416 Å, c = 11.736 Å
α = 90.00°, β = 90.00°, γ = 90.00°
Space group Imm2 (No. 44)
Asymmetric unit:
Hg (0.000, 0.000, 0.000) [2 per cell]
Pb (0.000, 0.000, 0.493) [2 per cell]
Br (0.000, 0.000, 0.727) [2 per cell]



(7)
Hg3PbBr8 | GGA-PBE | optimized geometry

calculated volume = 36.73 Å³ per atom
spin magnetization = 0.000 μB/f.u.
E_tot = -2.04 eV per atom
formation energy from raw total energies = -0.54 eV per atom

a = 8.231 Å, b = 8.283 Å, c = 8.493 Å
α = 116.68°, β = 98.88°, γ = 112.20°
Space group P-1 (No. 2)
Asymmetric unit:
Hg (0.000, 0.000, 0.000) [1 per cell]
Hg (0.000, 0.000, 0.500) [1 per cell]
Hg (0.500, 0.500, 0.000) [1 per cell]
Pb (0.500, 0.500, 0.500) [1 per cell]
Br (0.224, 0.469, 0.196) [2 per cell]
Br (0.233, 0.991, 0.720) [2 per cell]
Br (0.255, 0.016, 0.240) [2 per cell]
Br (0.273, 0.512, 0.760) [2 per cell]



(8)
HgPbBr | GGA-PBE | optimized geometry

calculated volume = 31.98 Å³ per atom
spin magnetization = 0.000 μB/f.u.
E_tot = -2.21 eV per atom
formation energy from raw total energies = -0.32 eV per atom

a = 8.947 Å, b = 9.558 Å, c = 6.171 Å
α = 90.00°, β = 133.35°, γ = 90.00°
Space group C2/c (No. 15)
Asymmetric unit:
Hg (0.000, 0.000, 0.000) [4 per cell]
Pb (0.000, 0.307, 0.250) [4 per cell]
Br (0.000, 0.369, 0.750) [4 per cell]



(9)
Hg3Pb5Br12 | GGA-PBE | optimized geometry

calculated volume = 40.47 Å³ per atom
spin magnetization = 0.001 μB/f.u.
E_tot = -2.56 eV per atom
formation energy from raw total energies = -0.58 eV per atom

a = 18.639 Å, b = 18.639 Å, c = 18.639 Å
α = 90.00°, β = 90.00°, γ = 90.00°
Space group Ia-3d (No. 230)
Asymmetric unit:
Hg (0.000, 0.250, 0.125) [24 per cell]
Pb (0.000, 0.000, 0.000) [16 per cell]
Pb (0.000, 0.250, 0.375) [24 per cell]
Br (0.030, 0.068, 0.647) [96 per cell]



(10)
HgPb2Br4 | GGA-PBE | optimized geometry

calculated volume = 40.86 Å³ per atom
spin magnetization = 0.000 μB/f.u.
E_tot = -2.81 eV per atom
formation energy from raw total energies = -0.76 eV per atom

a = 17.086 Å, b = 4.515 Å, c = 8.109 Å
α = 90.00°, β = 113.86°, γ = 90.00°
Space group C2/m (No. 12)
Asymmetric unit:
Hg (0.000, 0.000, 0.000) [2 per cell]
Pb (0.231, 0.000, 0.242) [4 per cell]
Br (0.143, 0.500, 0.375) [4 per cell]
Br (0.161, 0.000, 0.804) [4 per cell]



(11)
HgPbBr5 | GGA-PBE | optimized geometry

calculated volume = 41.99 Å³ per atom
spin magnetization = 0.001 μB/f.u.
E_tot = -2.23 eV per atom
formation energy from raw total energies = -0.46 eV per atom

a = 12.269 Å, b = 8.712 Å, c = 12.444 Å
α = 90.00°, β = 117.89°, γ = 90.00°
Space group C2/c (No. 15)
Asymmetric unit:
Hg (0.250, 0.250, 0.000) [4 per cell]
Pb (0.000, 0.068, 0.250) [4 per cell]
Br (0.000, 0.255, 0.750) [4 per cell]
Br (0.097, 0.248, 0.133) [8 per cell]
Br (0.250, 0.041, 0.474) [8 per cell]



(12)
Hg2Pb3Br6 | GGA-PBE | optimized geometry

calculated volume = 47.28 Å³ per atom
spin magnetization = 0.000 μB/f.u.
E_tot = -2.70 eV per atom
formation energy from raw total energies = -0.72 eV per atom

a = 7.736 Å, b = 13.396 Å, c = 10.362 Å
α = 90.00°, β = 104.38°, γ = 90.00°
Space group C2/m (No. 12)
Asymmetric unit:
Hg (0.000, 0.166, 0.000) [4 per cell]
Pb (0.000, 0.000, 0.500) [2 per cell]
Pb (0.000, 0.333, 0.500) [4 per cell]
Br (0.221, 0.500, 0.667) [4 per cell]
Br (0.223, 0.166, 0.668) [8 per cell]



- What is the E_tot in the fifth record?
  -2.64 eV per atom



- The highest calculated volume belongs to which entry?
  PaTlHgBr6



- Which formula does entry 9 have?
  Hg3Pb5Br12



- formation energy from raw total energies of number 12 (Hg2Pb3Br6)?
  -0.72 eV per atom